# 1
The following is a GGA-PBE calculation of a geometry-optimized P3Se structure, from Alexandria via LeMat-Bulk.

extended XYZ file:
```
4
Lattice="3.392 0.000 0.000 -1.696 2.937 0.000 0.000 0.000 6.827" Properties=species:S:1:pos:R:3 pbc="T T T"
Se 1.696 0.979 5.120
P 1.696 0.979 1.707
P 0.000 0.000 0.180
P 0.000 0.000 3.234
```

Energy above the most stable polymorph in this dataset   7.424 kcal/mol of atoms
Crystal system   hexagonal

# 2
The following is a GGA-PBE calculation of a geometry-optimized P3Se structure, from Alexandria via LeMat-Bulk.

extended XYZ file:
```
4
Lattice="-1.130 2.576 3.571 -4.135 0.640 -1.776 -1.031 -2.520 1.492" Properties=species:S:1:pos:R:3 pbc="T T T"
P -2.633 1.608 0.898
P -2.583 -0.940 -0.142
P -1.080 0.028 2.531
Se 0.000 0.000 0.000
```

Energy above the most stable polymorph in this dataset   14.960 kcal/mol of atoms
Crystal system   tetragonal

# 3
The following is a GGA-PBE calculation of a geometry-optimized P2Se structure, from Alexandria via LeMat-Bulk.

extended XYZ file:
```
6
Lattice="3.326 0.000 0.000 -1.608 6.078 0.000 -0.030 -0.272 9.163" Properties=species:S:1:pos:R:3 pbc="T T T"
P 2.494 0.288 0.723
P 0.886 4.315 1.660
P 0.802 1.491 7.503
Se 2.465 1.113 5.940
Se -0.777 4.693 3.222
P -0.806 5.518 8.439
```

Energy above the most stable polymorph in this dataset   0.312 kcal/mol of atoms
Crystal system   triclinic

# 4
The following is a GGA-PBE calculation of a geometry-optimized P2Se structure, from Alexandria via LeMat-Bulk.

extended XYZ file:
```
12
Lattice="-3.162 -4.172 -1.275 3.726 -2.244 -1.900 2.177 -4.623 9.729" Properties=species:S:1:pos:R:3 pbc="T T T"
Se 2.601 -9.283 6.851
Se 0.141 -1.756 -0.297
P 0.668 -5.828 0.336
P 1.298 -6.864 2.164
P -1.481 -3.796 -0.981
P 1.443 -4.175 4.391
Se 2.893 -4.765 2.726
P 2.073 -5.211 6.218
P 4.223 -7.242 7.536
P 3.990 -6.446 5.506
P -1.248 -4.593 1.049
Se -0.151 -6.274 3.828
```

Energy above the most stable polymorph in this dataset   6.604 kcal/mol of atoms
Crystal system   orthorhombic

# 5
The following is a GGA-PBE calculation of a geometry-optimized P2Se structure, from Alexandria via LeMat-Bulk.

extended XYZ file:
```
6
Lattice="5.824 0.000 0.000 0.000 3.342 0.000 -1.553 0.000 8.653" Properties=species:S:1:pos:R:3 pbc="T T T"
P 0.978 0.000 6.152
Se 3.178 1.671 8.083
P 0.599 1.671 4.708
P 3.213 0.000 6.482
Se 1.666 0.000 1.950
P 2.410 1.671 3.371
```

Energy above the most stable polymorph in this dataset   0.252 kcal/mol of atoms
Crystal system   monoclinic

# 6
The following is a GGA-PBE calculation of a geometry-optimized P3Se structure, from Alexandria via LeMat-Bulk.

extended XYZ file:
```
4
Lattice="3.283 0.000 0.000 1.636 5.434 -0.001 0.039 1.345 5.696" Properties=species:S:1:pos:R:3 pbc="T T T"
P 3.443 4.514 3.727
P 1.803 2.147 5.540
Se 3.403 3.950 0.166
P 3.444 2.339 4.008
```

Energy above the most stable polymorph in this dataset   0.220 kcal/mol of atoms
Crystal system   triclinic

# 7
The following is a GGA-PBE calculation of a geometry-optimized P3Se structure, from Alexandria via LeMat-Bulk.

extended XYZ file:
```
4
Lattice="5.435 0.007 0.002 2.609 4.768 -0.002 -3.585 -3.125 2.632" Properties=species:S:1:pos:R:3 pbc="T T T"
Se 1.523 2.015 1.315
P 4.518 2.682 0.000
P 7.548 4.480 0.000
P 2.936 -0.365 1.317
```

Energy above the most stable polymorph in this dataset   12.058 kcal/mol of atoms
Crystal system   orthorhombic

# 8
The following is a GGA-PBE calculation of a geometry-optimized P2Se structure, from Alexandria via LeMat-Bulk.

extended XYZ file:
```
6
Lattice="1.643 -12.053 0.000 1.643 12.053 0.000 0.000 0.000 3.337" Properties=species:S:1:pos:R:3 pbc="T T T"
P 1.643 -6.006 0.834
P 1.643 -1.044 2.503
Se 1.643 -10.018 2.503
P 1.643 1.044 0.834
P 1.643 6.006 2.503
Se 1.643 10.018 0.834
```

Energy above the most stable polymorph in this dataset   8.415 kcal/mol of atoms
Crystal system   orthorhombic

# 9
The following is a GGA-PBE calculation of a geometry-optimized P5Se structure, from Alexandria via LeMat-Bulk.

extended XYZ file:
```
6
Lattice="2.136 -6.732 0.000 2.136 6.732 0.000 0.000 0.000 4.424" Properties=species:S:1:pos:R:3 pbc="T T T"
Se 2.136 -5.880 0.000
P 2.136 0.874 2.212
P 2.136 -2.823 2.212
P 2.136 3.046 2.212
P 2.136 3.909 0.000
P 2.136 -3.613 0.000
```

Energy above the most stable polymorph in this dataset   2.110 kcal/mol of atoms
Crystal system   orthorhombic

# 10
The following is a GGA-PBE calculation of a geometry-optimized P4Se structure, from Alexandria via LeMat-Bulk.

extended XYZ file:
```
5
Lattice="4.181 -0.947 2.638 -3.886 0.547 3.153 -0.910 -3.832 -3.136" Properties=species:S:1:pos:R:3 pbc="T T T"
P -0.455 -1.916 -1.568
P -0.307 -2.116 1.328
Se 0.000 0.000 0.000
P 2.091 -0.474 1.319
P -1.943 0.273 1.577
```

Energy above the most stable polymorph in this dataset   0.000 kcal/mol of atoms
Crystal system   cubic

# 11
The following is a GGA-PBE calculation of a geometry-optimized P2Se structure, from Alexandria via LeMat-Bulk.

extended XYZ file:
```
3
Lattice="4.380 0.000 0.000 2.190 3.794 0.000 2.190 1.265 3.577" Properties=species:S:1:pos:R:3 pbc="T T T"
P 2.190 1.265 0.894
Se 0.000 0.000 0.000
P 6.571 3.794 2.682
```

Energy above the most stable polymorph in this dataset   22.195 kcal/mol of atoms
Crystal system   cubic

# 12
The following is a GGA-PBE calculation of a geometry-optimized P3Se2 structure, from Alexandria via LeMat-Bulk.

extended XYZ file:
```
5
Lattice="-6.404 -6.864 -7.912 -4.362 -9.314 -6.706 -7.241 -8.529 -5.057" Properties=species:S:1:pos:R:3 pbc="T T T"
P -3.300 -4.528 -3.606
Se -6.750 -9.261 -7.375
P -14.707 -20.179 -16.069
Se -11.258 -15.446 -12.300
P 0.000 0.000 0.000
```

Crystal system   trigonal

no.,formation energy from raw total energies (eV per atom)
1,0.450
2,0.777
3,0.024
4,0.297
5,0.022
6,0.138
7,0.651
8,0.376
9,0.323
10,1.009
11,0.973
12,0.068